[1]
This record from the Alexandria database describes a relaxed structure of Co2PtPb. The functional is PBE.

Results
Its formation enthalpy at 0 K is 0.348 eV/atom. As for the spin magnetization: 3.251 Bohr magnetons per cell. For the density of states at the Fermi level, the calculation gives 7.07 states/eV/cell. Its symmetry is P4/mmm, No. 123.

Structure (CIF):
```
data_Co2PtPb
_cell_length_a 3.2594
_cell_length_b 3.2594
_cell_length_c 5.9987
_cell_angle_alpha 90.00
_cell_angle_beta 90.00
_cell_angle_gamma 90.00
_symmetry_space_group_name_H-M 'P 1'
_symmetry_Int_Tables_number 1
_symmetry_space_group_name_Hall 'P 1'
loop_
_atom_site_label
_atom_site_type_symbol
_atom_site_fract_x
_atom_site_fract_y
_atom_site_fract_z
_atom_site_occupancy
Co1 Co 0.0000 0.0000 0.9616 1
Co2 Co 0.0000 0.0000 0.5384 1
Pb1 Pb 0.5000 0.5000 0.2500 1
Pt1 Pt 0.5000 0.5000 0.7500 1
```

[2]
This record from the Alexandria database describes a relaxed structure of TiSbHI2. The functional is PBE.

Results
As for the spin magnetization: 0.195 Bohr magnetons per cell. For the density of states at the Fermi level, the calculation gives 5.74 states/eV/cell. Its total DFT energy (no corrections) is -3.1423 eV per atom. Its symmetry is P4/mmm, No. 123.

Structure (CIF):
```
data_TiSbHI2
_cell_length_a 5.4313
_cell_length_b 5.4313
_cell_length_c 3.8731
_cell_angle_alpha 90.00
_cell_angle_beta 90.00
_cell_angle_gamma 90.00
_symmetry_space_group_name_H-M 'P 1'
_symmetry_Int_Tables_number 1
_symmetry_space_group_name_Hall 'P 1'
loop_
_atom_site_label
_atom_site_type_symbol
_atom_site_fract_x
_atom_site_fract_y
_atom_site_fract_z
_atom_site_occupancy
I1 I 0.0000 0.5000 0.0000 1
I2 I 0.5000 0.0000 0.0000 1
Sb1 Sb 0.0000 0.0000 0.5000 1
H1 H 0.0000 0.0000 0.0000 1
Ti1 Ti 0.5000 0.5000 0.5000 1
```

[3]
This record from the Alexandria database describes a relaxed structure of CdHgSe2. The functional is PBE.

Results
The calculation puts the uncorrected formation energy at -0.8 eV/f.u. As for the spin magnetization: 0.000 Bohr magnetons per cell. For the density of states at the Fermi level, the calculation gives 2.31 states/eV/cell. Its symmetry is Pbcn, No. 60.

Structure (CIF):
```
data_CdHgSe2
_cell_length_a 7.1847
_cell_length_b 8.0236
_cell_length_c 6.8078
_cell_angle_alpha 90.00
_cell_angle_beta 90.00
_cell_angle_gamma 90.00
_symmetry_space_group_name_H-M 'P 1'
_symmetry_Int_Tables_number 1
_symmetry_space_group_name_Hall 'P 1'
loop_
_atom_site_label
_atom_site_type_symbol
_atom_site_fract_x
_atom_site_fract_y
_atom_site_fract_z
_atom_site_occupancy
Hg1 Hg 0.2500 0.8722 0.9374 1
Hg2 Hg 0.7500 0.1278 0.4374 1
Hg3 Hg 0.2500 0.3722 0.4374 1
Hg4 Hg 0.7500 0.6278 0.9374 1
Se1 Se 0.5879 0.8764 0.1929 1
Se2 Se 0.4121 0.1236 0.6929 1
Se3 Se 0.9121 0.3764 0.6929 1
Se4 Se 0.0879 0.6236 0.1929 1
Se5 Se 0.9121 0.8764 0.6820 1
Se6 Se 0.0879 0.1236 0.1820 1
Se7 Se 0.5879 0.3764 0.1820 1
Se8 Se 0.4121 0.6236 0.6820 1
Cd1 Cd 0.2500 0.3750 0.9374 1
Cd2 Cd 0.7500 0.6250 0.4374 1
Cd3 Cd 0.2500 0.8750 0.4374 1
Cd4 Cd 0.7500 0.1250 0.9374 1
```